# TaPt, optimized geometry, DFT PBE-GGA
# total DFT energy (no corrections) = -18.7 eV per formula unit
# energy relative to the elements = -401 meV/atom
# DOS at the Fermi energy = 2.13 states/eV/f.u.
data_TaPt
_symmetry_space_group_name_H-M 'P -6 m 2'
_symmetry_Int_Tables_number 187
_symmetry_space_group_name_Hall 'P -6 2'
_cell_length_a 2.8900
_cell_length_b 2.8900
_cell_length_c 4.6129
_cell_angle_alpha 90.00
_cell_angle_beta 90.00
_cell_angle_gamma 120.00
loop_
_atom_site_label
_atom_site_fract_x
_atom_site_fract_y
_atom_site_fract_z
Ta1 0.0000 0.0000 0.0000
Pt1 0.6667 0.3333 0.5000